# SrIn2NiPb | the Alexandria database | GGA-PBE | optimized geometry
# M_tot, Bohr magnetons per cell: 0.00
# Energy of formation from the pure elements, eV per atom: -0.18
# Energy relative to the lowest polymorph listed for this composition, meV per atom: 0
data_SrIn2NiPb
_chemical_formula_sum 'Sr1 In2 Ni1 Pb1'
_cell_length_a 5.0551
_cell_length_b 5.0551
_cell_length_c 5.3259
_cell_angle_alpha 90.00
_cell_angle_beta 90.00
_cell_angle_gamma 90.00
_space_group_name_H-M_alt 'P 4/m m m'
_space_group_IT_number 123
_space_group_name_Hall '-P 4 2'
loop_
_atom_site_label
_atom_site_fract_x
_atom_site_fract_y
_atom_site_fract_z
Sr1 0.0000 0.0000 0.0000
In1 0.0000 0.5000 0.5000
Ni1 0.5000 0.5000 0.5000
Pb1 0.5000 0.5000 0.0000